Material: Ac3In8Au3
Method: DFT, PBE
State: optimized geometry

Calculated values
- ρ (g/cm³) = 9.7
- formation energy from the elements (eV per atom) = -0.47
- total energy (eV per atom) = -3.6144
- M_tot (μB per formula unit) = 0.00
- crystal system = monoclinic

Cell lengths 9.169, 9.169, 10.846 Å; angles 125.09, 125.09, 30.90 degrees
Atoms (fractional coordinates):
Ac  0.000  0.000  0.000
Ac  0.304  0.304  0.317
Ac  0.696  0.696  0.683
In  0.144  0.144  0.861
In  0.146  0.146  0.422
In  0.343  0.343  0.960
In  0.499  0.499  0.309
In  0.501  0.501  0.691
In  0.657  0.657  0.040
In  0.854  0.854  0.578
In  0.856  0.856  0.139
Au  0.000  0.000  0.500
Au  0.344  0.344  0.704
Au  0.656  0.656  0.296

---

Material: AcIn6Au2
Method: DFT, PBE
State: optimized geometry

Calculated values
- ρ (g/cm³) = 9.1
- formation energy from the elements (eV per atom) = -0.28
- total energy (eV per atom) = -3.2912
- M_tot (μB per formula unit) = 0.00
- crystal system = tetragonal

Cell lengths 4.581, 4.581, 11.346 Å; angles 90.00, 90.00, 90.00 degrees
Atoms (fractional coordinates):
Ac  0.000  0.000  0.000
In  0.000  0.000  0.500
In  0.000  0.500  0.278
In  0.000  0.500  0.722
In  0.500  0.000  0.278
In  0.500  0.000  0.722
In  0.500  0.500  0.500
Au  0.500  0.500  0.121
Au  0.500  0.500  0.879

---

Material: Ac2InIrAu
Method: DFT, PBE
State: optimized geometry

Calculated values
- ρ (g/cm³) = 11.0
- formation energy from the elements (eV per atom) = -0.63
- total energy (eV per atom) = -5.2447
- M_tot (μB per formula unit) = 0.00
- crystal system = tetragonal

Cell lengths 4.410, 4.410, 14.880 Å; angles 90.00, 90.00, 90.00 degrees
Atoms (fractional coordinates):
Ac  0.250  0.250  0.101
Ac  0.250  0.250  0.704
Ac  0.750  0.750  0.296
Ac  0.750  0.750  0.899
In  0.250  0.750  0.500
In  0.750  0.250  0.500
Ir  0.250  0.250  0.893
Ir  0.750  0.750  0.107
Au  0.250  0.250  0.358
Au  0.750  0.750  0.642

---

Material: AcInIrAu
Method: DFT, PBE
State: optimized geometry

Calculated values
- ρ (g/cm³) = 12.9
- formation energy from the elements (eV per atom) = -0.32
- total energy (eV per atom) = -5.0635
- M_tot (μB per formula unit) = 0.00
- crystal system = cubic

Cell lengths 5.110, 5.110, 5.110 Å; angles 60.00, 60.00, 60.00 degrees
Atoms (fractional coordinates):
Ac  0.000  0.000  0.000
In  0.500  0.500  0.500
Ir  0.250  0.250  0.250
Au  0.750  0.750  0.750

---

Material: Ac2In4IrAu3
Method: DFT, PBE
State: optimized geometry

Calculated values
- ρ (g/cm³) = 11.2
- formation energy from the elements (eV per atom) = -0.50
- total energy (eV per atom) = -4.2867
- M_tot (μB per formula unit) = 0.00
- crystal system = tetragonal

Cell lengths 4.732, 4.732, 11.248 Å; angles 90.00, 90.00, 90.00 degrees
Atoms (fractional coordinates):
Ac  0.000  0.500  0.233
Ac  0.500  0.000  0.767
In  0.000  0.000  0.500
In  0.000  0.500  0.880
In  0.500  0.000  0.120
In  0.500  0.500  0.500
Ir  0.500  0.500  0.000
Au  0.000  0.000  0.000
Au  0.000  0.500  0.640
Au  0.500  0.000  0.360

---

Material: AcLaInAu
Method: DFT, PBE
State: optimized geometry

Calculated values
- ρ (g/cm³) = 9.1
- formation energy from the elements (eV per atom) = -0.56
- total energy (eV per atom) = -4.3245
- energy relative to the lowest polymorph listed for this composition (kcal/mol of atoms) = 1.24
- M_tot (μB per formula unit) = 0.10
- crystal system = cubic

Cell lengths 5.591, 5.591, 5.591 Å; angles 60.00, 60.00, 60.00 degrees
Atoms (fractional coordinates):
Ac  0.000  0.000  0.000
La  0.500  0.500  0.500
In  0.750  0.750  0.750
Au  0.250  0.250  0.250